A relaxed structure of KTl2Mo2, computed with PBE.

Results
- mass density (g/cm³) = 9.00
- formation energy from the elements (eV per atom) = 0.68
- electronic total energy (eV per formula unit) = -24.11

a = 8.9783 Å, b = 8.9783 Å, c = 2.9297 Å
α = 90.00°, β = 90.00°, γ = 90.00°
Closest atoms and distances in Å follow each position.
Space group P4/mbm (No. 127)
Symmetry-distinct sites (fractional):
K (0.0000, 0.0000, 0.0000) [2 per cell]  2 K 2.93, 4 Tl 3.26
Tl (0.1905, 0.3095, 0.0000) [4 per cell]  2 Tl 2.93, 6 Mo 3.07-3.11, 2 K 3.26
Mo (0.0932, 0.5932, 0.5000) [4 per cell]  1 Mo 2.37

***

A relaxed structure of TmZr2Ni, computed with PBE.

Results
- mass density (g/cm³) = 7.21
- formation energy from the elements (eV per atom) = 0.10
- electronic total energy (eV per formula unit) = -26.96

a = 4.0041 Å, b = 4.0041 Å, c = 20.4182 Å
α = 90.00°, β = 90.00°, γ = 120.00°
Closest atoms and distances in Å follow each position.
Space group R3m (No. 160, hexagonal axes)
Symmetry-distinct sites (fractional):
Tm (0.0000, 0.0000, 0.0000) [3 per cell]  6 Zr 3.25-3.26, 1 Ni 3.44
Zr (0.0000, 0.0000, 0.5549) [3 per cell]  3 Ni 2.55
Zr (0.0000, 0.0000, 0.7795) [3 per cell]  3 Ni 2.58
Ni (0.0000, 0.0000, 0.1687) [3 per cell]  6 Zr 2.55-2.58

***

A relaxed structure of Sc2NbTl, computed with PBE.

Results
- mass density (g/cm³) = 7.02
- formation energy from the elements (eV per atom) = 0.44
- electronic total energy (eV per formula unit) = -23.35

a = 4.2198 Å, b = 4.2198 Å, c = 20.5713 Å
α = 90.00°, β = 90.00°, γ = 90.00°
Closest atoms and distances in Å follow each position.
Space group I-42d (No. 122)
Symmetry-distinct sites (fractional):
Sc (0.2411, 0.2500, 0.1250) [8 per cell]  4 Sc 2.93-3.04, 2 Nb 2.96, 2 Tl 2.99
Nb (0.0000, 0.0000, 0.0000) [4 per cell]  4 Sc 2.96, 4 Tl 2.98
Tl (0.0000, 0.0000, 0.5000) [4 per cell]  4 Nb 2.98, 4 Sc 2.99